# 1
DFT (PBE) results for a relaxed TbCeSm6 crystal.

The value obtained for the energy relative to the elements is 0.0475 eV per atom. As for the final energy: -38.50 eV per cell. The size of the total moment is 0.90 μB/f.u.

The structure belongs to space group P4/mmm (No. 123); the cell edges are 5.099, 5.099 and 10.203 Å and the angles 90.00°, 90.00° and 90.00°. The distinct sites, in fractional coordinates, are Tb at (0.000, 0.000, 0.000), Ce at (0.000, 0.000, 0.500), Sm at (0.000, 0.500, 0.252), Sm at (0.500, 0.500, 0.000) and Sm at (0.500, 0.500, 0.500).

=====

# 2
DFT (PBE) results for a relaxed Tb5CeSm3 crystal.

The value obtained for the energy relative to the elements is 0.4256 eV per atom. As for the final energy: -157.65 eV per cell. The size of the total moment is 1.20 μB/f.u.

The structure belongs to space group C2/m (No. 12); the cell edges are 16.621, 8.256 and 12.207 Å and the angles 90.00°, 130.93° and 90.00°. The distinct sites, in fractional coordinates, are Tb at (0.000, 0.182, 0.000), Tb at (0.054, 0.000, 0.418), Tb at (0.144, 0.000, 0.951), Tb at (0.211, 0.197, 0.772), Ce at (0.105, 0.500, 0.872), Sm at (0.000, 0.500, 0.000), Sm at (0.000, 0.500, 0.500), Sm at (0.161, 0.500, 0.355) and Sm at (0.195, 0.000, 0.299).

=====

# 3
DFT (PBE) results for a relaxed Tb6CeSm3 crystal.

The value obtained for the energy relative to the elements is 0.1020 eV per atom. As for the final energy: -93.71 eV per cell. For the energy above the most stable polymorph in this dataset, the calculation gives 0 meV per atom. The size of the total moment is 0.95 μB/f.u.

The structure belongs to space group P2_1/m (No. 11); the cell edges are 13.963, 3.572 and 14.747 Å and the angles 90.00°, 117.36° and 90.00°. The distinct sites, in fractional coordinates, are Tb at (0.001, 0.250, 0.096), Tb at (0.039, 0.750, 0.412), Tb at (0.220, 0.750, 0.671), Tb at (0.259, 0.250, 0.097), Tb at (0.448, 0.250, 0.376), Tb at (0.474, 0.250, 0.788), Ce at (0.205, 0.750, 0.288), Sm at (0.150, 0.250, 0.829), Sm at (0.302, 0.250, 0.516) and Sm at (0.378, 0.750, 0.949).

=====

# 4
DFT (PBE) results for a relaxed Tb4CeSm6 crystal.

The value obtained for the energy relative to the elements is 0.1448 eV per atom. As for the final energy: -204.71 eV per cell. The size of the total moment is 1.00 μB/f.u.

The structure belongs to space group Cmcm (No. 63); the cell edges are 5.858, 9.618 and 25.849 Å and the angles 90.00°, 90.00° and 90.00°. The distinct sites, in fractional coordinates, are Tb at (0.000, 0.051, 0.123), Tb at (0.000, 0.351, 0.043), Ce at (0.000, 0.286, 0.750), Sm at (0.000, 0.000, 0.000), Sm at (0.000, 0.052, 0.250), Sm at (0.000, 0.295, 0.601) and Sm at (0.000, 0.383, 0.181).

=====

# 5
DFT (PBE) results for a relaxed Tb4CeSm7 crystal.

The value obtained for the energy relative to the elements is 0.1466 eV per atom. As for the final energy: -55.73 eV per cell. The size of the total moment is 1.31 μB/f.u.

The structure belongs to space group P-1 (No. 2); the cell edges are 6.022, 6.994 and 10.103 Å and the angles 69.82°, 89.76° and 89.96°. The distinct sites, in fractional coordinates, are Tb at (0.248, 0.404, 0.228), Tb at (0.249, 0.868, 0.228), Ce at (0.000, 0.000, 0.500), Sm at (0.248, 0.462, 0.575), Sm at (0.250, 0.287, 0.926), Sm at (0.250, 0.813, 0.873) and Sm at (0.500, 0.000, 0.500).

=====

# 6
DFT (PBE) results for a relaxed TbCe2Sm crystal.

The value obtained for the energy relative to the elements is 0.1143 eV per atom. As for the final energy: -20.76 eV per cell. For the energy above the most stable polymorph in this dataset, the calculation gives 10 meV per atom. The size of the total moment is 1.52 μB/f.u.

The structure belongs to space group P4/mmm (No. 123); the cell edges are 3.481, 3.481 and 10.220 Å and the angles 90.00°, 90.00° and 90.00°. The distinct sites, in fractional coordinates, are Tb at (0.000, 0.000, 0.000), Ce at (0.500, 0.500, 0.248) and Sm at (0.000, 0.000, 0.500).

=====

# 7
DFT (PBE) results for a relaxed Tb2CeSm crystal.

The value obtained for the energy relative to the elements is 0.0601 eV per atom. As for the final energy: -19.67 eV per cell. For the energy above the most stable polymorph in this dataset, the calculation gives 11 meV per atom. The size of the total moment is 0.63 μB/f.u.

The structure belongs to space group P4/mmm (No. 123); the cell edges are 3.551, 3.551 and 10.071 Å and the angles 90.00°, 90.00° and 90.00°. The distinct sites, in fractional coordinates, are Tb at (0.000, 0.000, 0.242), Ce at (0.500, 0.500, 0.000) and Sm at (0.500, 0.500, 0.500).

=====

# 8
DFT (PBE) results for a relaxed Tb6CeSm3 crystal.

The value obtained for the energy relative to the elements is 0.3066 eV per atom. As for the final energy: -89.61 eV per cell. For the energy above the most stable polymorph in this dataset, the calculation gives 205 meV per atom. The size of the total moment is 1.20 μB/f.u.

The structure belongs to space group C2/m (No. 12); the cell edges are 9.088, 8.678 and 8.908 Å and the angles 90.00°, 100.50° and 90.00°. The distinct sites, in fractional coordinates, are Tb at (0.119, 0.000, 0.372), Tb at (0.120, 0.319, 0.854), Ce at (0.000, 0.000, 0.000), Sm at (0.000, 0.500, 0.500) and Sm at (0.220, 0.500, 0.230).

=====

Which of these has the lowest size of the total moment?
Tb2CeSm

=====

Number 4 is which compound?
Tb4CeSm6

=====

The highest energy relative to the elements belongs to which entry?
Tb5CeSm3